Compound: BaSrLa2Ni
Source: Alexandria via LeMat-Bulk
Functional: PBE-GGA
Structure: relaxed

Computed properties:
- Formation enthalpy at 0 K: -0.02 eV/atom
- Distance to the lowest polymorph of the same formula: 0.00 kcal/mol of atoms
- SG: P4/mmm, No. 123
- DOS at the Fermi energy: 0.912 states/eV per atom
- Total magnetization: 0.00 μB per formula unit
- Volume: 198.9 Å³/cell

abc: 5.631 5.631 6.273
angles: 90.00 90.00 90.00
Atoms (fractional coordinates):
Sr1 0.000 0.000 0.500
Ni1 0.000 0.000 0.000
Ba1 0.500 0.500 0.500
La1 0.000 0.500 0.000
La2 0.500 0.000 0.000